First-principles (GGA-PBE) data for an optimized crystal structure of TcRuIO2, as listed in Alexandria.

The space group is P4/mmm (No. 123) and the conventional cell measures 3.790, 3.790 and 6.093 Å, with angles of 90.00, 90.00 and 90.00 degrees. The asymmetric unit holds Tc at (0.000, 0.000, 0.000), Ru at (0.500, 0.500, 0.500), I at (0.000, 0.000, 0.500) and O at (0.000, 0.500, 0.000).

The value obtained for the uncorrected formation energy is -30 kJ/mol of formula units. The calculation puts the energy above the most stable polymorph in this dataset at 0.000 eV per atom.

First-principles (GGA-PBE) data for an optimized crystal structure of Te2RuIO, as listed in Alexandria.

The space group is P4/mmm (No. 123) and the conventional cell measures 5.067, 5.067 and 5.520 Å, with angles of 90.00, 90.00 and 90.00 degrees. The asymmetric unit holds Te at (0.000, 0.500, 0.000), Ru at (0.000, 0.000, 0.000), I at (0.000, 0.000, 0.500) and O at (0.500, 0.500, 0.500).

The value obtained for the uncorrected formation energy is 447 kJ/mol of formula units. The calculation puts the energy above the most stable polymorph in this dataset at 0.155 eV per atom.

First-principles (GGA-PBE) data for an optimized crystal structure of TeRuI2O, as listed in Alexandria.

The space group is P4/mmm (No. 123) and the conventional cell measures 5.671, 5.671 and 3.758 Å, with angles of 90.00, 90.00 and 90.00 degrees. The asymmetric unit holds Te at (0.000, 0.000, 0.000), Ru at (0.500, 0.500, 0.500), I at (0.000, 0.500, 0.500) and O at (0.500, 0.500, 0.000).

The value obtained for the uncorrected formation energy is 19 kJ/mol of formula units. The calculation puts the energy above the most stable polymorph in this dataset at 0.000 eV per atom.

First-principles (GGA-PBE) data for an optimized crystal structure of Te2RuIO, as listed in Alexandria.

The space group is P4/mmm (No. 123) and the conventional cell measures 4.422, 4.422 and 6.522 Å, with angles of 90.00, 90.00 and 90.00 degrees. The asymmetric unit holds Te at (0.000, 0.500, 0.000), Ru at (0.000, 0.000, 0.500), I at (0.500, 0.500, 0.500) and O at (0.500, 0.500, 0.000).

The value obtained for the uncorrected formation energy is 372 kJ/mol of formula units. The calculation puts the energy above the most stable polymorph in this dataset at 0.000 eV per atom.

First-principles (GGA-PBE) data for an optimized crystal structure of TeRuI2O, as listed in Alexandria.

The space group is P4/mmm (No. 123) and the conventional cell measures 5.512, 5.512 and 4.967 Å, with angles of 90.00, 90.00 and 90.00 degrees. The asymmetric unit holds Te at (0.000, 0.000, 0.000), Ru at (0.000, 0.000, 0.500), I at (0.000, 0.500, 0.500) and O at (0.500, 0.500, 0.000).

The value obtained for the uncorrected formation energy is 439 kJ/mol of formula units. The calculation puts the energy above the most stable polymorph in this dataset at 0.869 eV per atom.

First-principles (GGA-PBE) data for an optimized crystal structure of TeRuI2O, as listed in Alexandria.

The space group is P4/mmm (No. 123) and the conventional cell measures 6.111, 6.111 and 4.023 Å, with angles of 90.00, 90.00 and 90.00 degrees. The asymmetric unit holds Te at (0.000, 0.000, 0.000), Ru at (0.500, 0.500, 0.500), I at (0.000, 0.500, 0.000) and O at (0.000, 0.000, 0.500).

The value obtained for the uncorrected formation energy is 334 kJ/mol of formula units. The calculation puts the energy above the most stable polymorph in this dataset at 0.651 eV per atom.

First-principles (GGA-PBE) data for an optimized crystal structure of TeRuIO2, as listed in Alexandria.

The space group is P4/mmm (No. 123) and the conventional cell measures 4.014, 4.014 and 6.095 Å, with angles of 90.00, 90.00 and 90.00 degrees. The asymmetric unit holds Te at (0.000, 0.000, 0.000), Ru at (0.500, 0.500, 0.500), I at (0.500, 0.500, 0.000) and O at (0.000, 0.500, 0.500).

The value obtained for the uncorrected formation energy is 52 kJ/mol of formula units. The calculation puts the energy above the most stable polymorph in this dataset at 0.000 eV per atom.

First-principles (GGA-PBE) data for an optimized crystal structure of TeRuI2O, as listed in Alexandria.

The space group is P4/mmm (No. 123) and the conventional cell measures 5.176, 5.176 and 4.537 Å, with angles of 90.00, 90.00 and 90.00 degrees. The asymmetric unit holds Te at (0.000, 0.000, 0.000), Ru at (0.500, 0.500, 0.000), I at (0.000, 0.500, 0.500) and O at (0.000, 0.000, 0.500).

The value obtained for the uncorrected formation energy is 472 kJ/mol of formula units. The calculation puts the energy above the most stable polymorph in this dataset at 0.938 eV per atom.

First-principles (GGA-PBE) data for an optimized crystal structure of TeRuIO2, as listed in Alexandria.

The space group is P4/mmm (No. 123) and the conventional cell measures 4.005, 4.005 and 6.786 Å, with angles of 90.00, 90.00 and 90.00 degrees. The asymmetric unit holds Te at (0.000, 0.000, 0.000), Ru at (0.500, 0.500, 0.500), I at (0.000, 0.000, 0.500) and O at (0.000, 0.500, 0.000).

The value obtained for the uncorrected formation energy is 146 kJ/mol of formula units. The calculation puts the energy above the most stable polymorph in this dataset at 0.195 eV per atom.

First-principles (GGA-PBE) data for an optimized crystal structure of TiRuIO2, as listed in Alexandria.

The space group is P4/mmm (No. 123) and the conventional cell measures 3.877, 3.877 and 6.025 Å, with angles of 90.00, 90.00 and 90.00 degrees. The asymmetric unit holds Ti at (0.000, 0.000, 0.000), Ru at (0.500, 0.500, 0.500), I at (0.500, 0.500, 0.000) and O at (0.000, 0.500, 0.500).

The value obtained for the uncorrected formation energy is -57 kJ/mol of formula units. The calculation puts the energy above the most stable polymorph in this dataset at 0.662 eV per atom.

First-principles (GGA-PBE) data for an optimized crystal structure of TiRuIO2, as listed in Alexandria.

The space group is P4/mmm (No. 123) and the conventional cell measures 3.805, 3.805 and 6.153 Å, with angles of 90.00, 90.00 and 90.00 degrees. The asymmetric unit holds Ti at (0.000, 0.000, 0.000), Ru at (0.500, 0.500, 0.500), I at (0.000, 0.000, 0.500) and O at (0.000, 0.500, 0.000).

The value obtained for the uncorrected formation energy is -377 kJ/mol of formula units. The calculation puts the energy above the most stable polymorph in this dataset at 0.000 eV per atom.

First-principles (GGA-PBE) data for an optimized crystal structure of TlRuI2O, as listed in Alexandria.

The space group is P4/mmm (No. 123) and the conventional cell measures 6.105, 6.105 and 4.055 Å, with angles of 90.00, 90.00 and 90.00 degrees. The asymmetric unit holds Tl at (0.000, 0.000, 0.000), Ru at (0.500, 0.500, 0.500), I at (0.000, 0.500, 0.000) and O at (0.000, 0.000, 0.500).

The value obtained for the uncorrected formation energy is 370 kJ/mol of formula units. The calculation puts the energy above the most stable polymorph in this dataset at 1.107 eV per atom.

Which value of energy above the most stable polymorph in this dataset does entry 10 give? 0.662 eV per atom